# KTb3Sm2Se6 (PBE-GGA, relaxed)
# D(E_F) in states/eV/atom: 0.312
# Crystal system: monoclinic
# Final energy in eV/atom: -5.538
# Calculated volume in Å³/atom: 26.03
data_KTb3Sm2Se6
_chemical_formula_sum 'K2 Tb6 Sm4 Se12'
_cell_length_a 18.321
_cell_length_b 4.134
_cell_length_c 8.500
_cell_angle_alpha 90.00
_cell_angle_beta 103.98
_cell_angle_gamma 90.00
_space_group_name_H-M_alt 'C 1 2/m 1'
_space_group_IT_number 12
loop_
_space_group_symop_operation_xyz
'x,y,z'
'-x,-y,-z'
'-x,y,-z'
'x,-y,z'
'x+1/2,y+1/2,z'
'-x+1/2,-y+1/2,-z'
'-x+1/2,y+1/2,-z'
'x+1/2,-y+1/2,z'
loop_
_atom_site_label
_atom_site_fract_x
_atom_site_fract_y
_atom_site_fract_z
K1 0.000 0.000 0.000
Tb1 0.000 0.000 0.500
Tb2 0.164 0.500 0.824
Sm1 0.171 0.500 0.347
Se1 0.001 0.500 0.267
Se2 0.163 0.000 0.588
Se3 0.173 0.000 0.081